1.
Compound: AcLa5HoTm2
Source: Alexandria via LeMat-Bulk
Functional: PBE-GGA
Structure: relaxed

a = 5.6092 Å, b = 12.6019 Å, c = 9.5987 Å
α = 90.00°, β = 90.00°, γ = 102.86°
Positions (direct):
La  0.4750  0.9500  0.7571
La  0.6878  0.3756  0.2246
La  0.9903  0.9806  0.0445
La  0.5250  0.0500  0.2571
La  0.3915  0.7829  0.0308
La  0.0097  0.0194  0.5444
La  0.6085  0.2171  0.5308
La  0.3122  0.6244  0.7246
La  0.2594  0.5187  0.3522
La  0.7406  0.4813  0.8522
Ac  0.6034  0.2068  0.9243
Ac  0.3966  0.7932  0.4243
Ho  0.7713  0.5426  0.5295
Ho  0.2287  0.4574  0.0295
Tm  0.8247  0.6494  0.1710
Tm  0.1753  0.3506  0.6710
Tm  0.8885  0.7769  0.7900
Tm  0.1115  0.2231  0.2900

Results
As for the density of states at the Fermi level: 1.422 states/eV/atom. The value obtained for the volume is 36.75 A^3/atom. The formation energy comes out at 1.33 eV/f.u. The total moment comes out at 0.00 μB/f.u. Its crystal system is orthorhombic.


2.
Compound: Cu5Pt6
Source: Alexandria via LeMat-Bulk
Functional: PBE-GGA
Structure: relaxed

a = 4.6891 Å, b = 6.1016 Å, c = 6.0732 Å
α = 72.32°, β = 75.25°, γ = 97.57°
Positions (direct):
Cu  0.7273  0.5455  0.0909
Cu  0.4559  0.0897  0.1809
Cu  0.8175  0.3625  0.7320
Cu  0.6370  0.7285  0.4498
Cu  0.9986  0.0012  0.0009
Pt  0.5508  0.9174  0.8238
Pt  0.9037  0.1735  0.3580
Pt  0.1762  0.6397  0.2703
Pt  0.0877  0.8111  0.6387
Pt  0.2784  0.4512  0.9115
Pt  0.3669  0.2798  0.5432

Results
As for the density of states at the Fermi level: 1.008 states/eV/atom. The value obtained for the volume is 14.18 A^3/atom. The formation energy comes out at -1.27 eV/f.u. The total moment comes out at 0.00 μB/f.u. Its crystal system is triclinic.


3.
Compound: GaNi4Ge
Source: Alexandria via LeMat-Bulk
Functional: PBE-GGA
Structure: relaxed

a = 4.6446 Å, b = 7.1014 Å, c = 4.6808 Å
α = 90.00°, β = 69.90°, γ = 90.00°
Positions (direct):
Ge  0.5000  0.5000  0.0000
Ge  0.0000  0.0000  0.0000
Ni  0.4179  0.6639  0.5927
Ni  0.5951  0.1668  0.9108
Ni  0.0951  0.3332  0.9108
Ni  0.9179  0.8361  0.5927
Ni  0.9049  0.6668  0.0892
Ni  0.0821  0.1639  0.4073
Ni  0.4049  0.8332  0.0892
Ni  0.5821  0.3361  0.4073
Ga  0.0000  0.5000  0.5000
Ga  0.5000  0.0000  0.5000

Results
As for the density of states at the Fermi level: 0.582 states/eV/atom. The value obtained for the volume is 12.08 A^3/atom. The formation energy comes out at -1.33 eV/f.u. The total moment comes out at 0.00 μB/f.u. Its crystal system is monoclinic.


4.
Compound: AcPr4Tl
Source: Alexandria via LeMat-Bulk
Functional: PBE-GGA
Structure: relaxed

a = 6.0047 Å, b = 6.6833 Å, c = 11.3751 Å
α = 90.00°, β = 105.30°, γ = 90.00°
Positions (direct):
Pr  0.9443  0.2117  0.8886
Pr  0.0557  0.7117  0.1114
Pr  0.2526  0.6040  0.5051
Pr  0.7474  0.1040  0.4949
Pr  0.6900  0.5796  0.3801
Pr  0.4549  0.9008  0.9098
Pr  0.5451  0.4008  0.0902
Pr  0.3100  0.0796  0.6199
Tl  0.4008  0.4424  0.8017
Tl  0.5992  0.9424  0.1983
Ac  0.8641  0.6949  0.7283
Ac  0.1359  0.1949  0.2717

Results
As for the density of states at the Fermi level: 1.508 states/eV/atom. The value obtained for the volume is 36.69 A^3/atom. The formation energy comes out at 0.05 eV/f.u. The total moment comes out at 0.00 μB/f.u. Its crystal system is orthorhombic.


5.
Compound: Pu3Tl3CuSe8
Source: Alexandria via LeMat-Bulk
Functional: PBE-GGA
Structure: relaxed

a = 8.2647 Å, b = 8.1463 Å, c = 9.0754 Å
α = 115.96°, β = 90.00°, γ = 120.48°
Positions (direct):
Se  0.7317  0.9647  0.6971
Se  0.7867  0.5734  0.3171
Se  0.2133  0.4266  0.6829
Se  0.7353  0.4706  0.7055
Se  0.2647  0.5294  0.2945
Se  0.7670  0.0353  0.3029
Se  0.2683  0.0353  0.3029
Se  0.2330  0.9647  0.6971
Cu  0.0000  0.0000  0.5000
Pu  0.0000  0.5000  0.5000
Pu  0.5000  0.5000  0.5000
Pu  0.5000  0.0000  0.5000
Tl  0.5000  0.5000  0.0000
Tl  0.0000  0.5000  0.0000
Tl  0.0000  0.0000  0.0000

Results
The uncorrected formation energy comes out at -81.9 kJ/mol of atoms. As for the density of states at the Fermi level: 1.995 states/eV/atom. The value obtained for the volume is 30.24 A^3/atom. The total moment comes out at 12.02 μB/f.u. Its crystal system is monoclinic.